HgS2BrN: relaxed, PBE.

Cell lengths 5.253, 5.253, 4.338 Å; angles 90.00, 90.00, 90.00 degrees
Each line ends with the local moment (μB).
Fractional coordinates of all 5 atoms:
Br 0.500 0.500 0.500  0.56
N 0.000 0.000 0.500  1.25
S 0.000 0.500 0.000  0.68
S 0.500 0.000 0.000  0.68
Hg 0.000 0.000 0.000  0.05

Results
ΔE to the lowest computed polymorph: 3.8 kJ per mole of atoms
symmetry: P4/mmm
magnetic moment: 0.936 μB per atom
energy relative to the elements, uncorrected: 749 kJ/mol of formula units
theoretical density: 5.0 g cm⁻³
final energy: -10.79 eV per cell